[1]
VASP calculation (PBE) on a relaxed PuTh4Au5 crystal.

Values from the calculation:
Its density of states at the Fermi level is 17.463 states/eV per cell. The calculation puts the magnetization at 5.8 μB per formula unit. The value obtained for the formation enthalpy at 0 K is -50.7 kJ per mole of atoms. The space group is P4/mmm (123).

a = 3.7010 Å, b = 3.7010 Å, c = 18.5533 Å
α = 90.00°, β = 90.00°, γ = 90.00°
Fractional positions:
Pu: 0.0000 0.0000 0.0000
Th: 0.0000 0.0000 0.1968
Th: 0.0000 0.0000 0.3994
Th: 0.0000 0.0000 0.6006
Th: 0.0000 0.0000 0.8032
Au: 0.5000 0.5000 0.0979
Au: 0.5000 0.5000 0.2977
Au: 0.5000 0.5000 0.5000
Au: 0.5000 0.5000 0.7023
Au: 0.5000 0.5000 0.9021

***

[2]
VASP calculation (PBE) on a relaxed Mo2P2Pt crystal.

Values from the calculation:
Its density of states at the Fermi level is 8.132 states/eV per cell. The calculation puts the magnetization at 0.0 μB per formula unit. The energy above the lowest structure with this stoichiometry comes out at 0 meV/atom. The value obtained for the formation enthalpy at 0 K is -25.7 kJ per mole of atoms. The space group is P4/mbm (127).

a = 6.9513 Å, b = 6.9513 Å, c = 2.9653 Å
α = 90.00°, β = 90.00°, γ = 90.00°
Fractional positions:
Mo: 0.1478 0.3522 0.0000
Mo: 0.3522 0.8522 0.0000
Mo: 0.6478 0.1478 0.0000
Mo: 0.8522 0.6478 0.0000
P: 0.1471 0.6471 0.5000
P: 0.3529 0.1471 0.5000
P: 0.6471 0.8529 0.5000
P: 0.8529 0.3529 0.5000
Pt: 0.0000 0.0000 0.5000
Pt: 0.5000 0.5000 0.5000

***

[3]
VASP calculation (PBE) on a relaxed TbPm6Nd3Dy2 crystal.

Values from the calculation:
Its density of states at the Fermi level is 16.747 states/eV per cell. The calculation puts the magnetization at 0.0 μB per formula unit. The value obtained for the formation enthalpy at 0 K is 1.4 kJ per mole of atoms. The space group is C2/m (12).

a = 6.2985 Å, b = 6.2985 Å, c = 12.0307 Å
α = 95.01°, β = 95.01°, γ = 120.00°
Fractional positions:
Tb: 0.0000 0.0000 0.0000
Pm: 0.0825 0.4159 0.2462
Pm: 0.2509 0.2509 0.7538
Pm: 0.4159 0.0825 0.2462
Pm: 0.5841 0.9175 0.7538
Pm: 0.7491 0.7491 0.2462
Pm: 0.9175 0.5841 0.7538
Nd: 0.1668 0.8332 0.5000
Nd: 0.5000 0.5000 0.5000
Nd: 0.8332 0.1668 0.5000
Dy: 0.3334 0.6666 0.0000
Dy: 0.6666 0.3334 0.0000